Density functional theory data (PBE-GGA) for an optimized crystal structure of Nb2BiBSb.

a = 5.3662 Å, b = 5.3662 Å, c = 5.7877 Å
α = 90.00°, β = 90.00°, γ = 90.00°
With the nearest neighbours (Å) after each atom.
Sites, in units of the cell vectors:
Nb: 0.0000 0.5000 0.0000  2 Bi 2.68
Nb: 0.5000 0.0000 0.0000  2 Bi 2.68
Bi: 0.0000 0.0000 0.0000  4 Nb 2.68, 2 Sb 2.89
B: 0.5000 0.5000 0.5000  4 Sb 3.79, 8 Nb 3.95
Sb: 0.0000 0.0000 0.5000  2 Bi 2.89

Calculated values
Calculated total energy, eV per atom: -4.345
Theoretical density, kg/m3: 5254
V, Å³/cell: 166.7

=====

Density functional theory data (PBE-GGA) for an optimized crystal structure of SrH2Br.

a = 6.4156 Å, b = 6.4156 Å, c = 6.4156 Å
α = 90.00°, β = 90.00°, γ = 90.00°
With the nearest neighbours (Å) after each atom.
Sites, in units of the cell vectors:
Sr: 0.0000 0.0000 0.0000  8 H 2.78
Sr: 0.0000 0.5000 0.5000  8 H 2.78
Sr: 0.5000 0.0000 0.5000  8 H 2.78
Sr: 0.5000 0.5000 0.0000  8 H 2.78
H: 0.2500 0.2500 0.2500  4 Br 2.78, 4 Sr 2.78
H: 0.2500 0.2500 0.7500  4 Br 2.78, 4 Sr 2.78
H: 0.2500 0.7500 0.2500  4 Br 2.78, 4 Sr 2.78
H: 0.2500 0.7500 0.7500  4 Br 2.78, 4 Sr 2.78
H: 0.7500 0.2500 0.2500  4 Br 2.78, 4 Sr 2.78
H: 0.7500 0.2500 0.7500  4 Br 2.78, 4 Sr 2.78
H: 0.7500 0.7500 0.2500  4 Br 2.78, 4 Sr 2.78
H: 0.7500 0.7500 0.7500  4 Br 2.78, 4 Sr 2.78
Br: 0.0000 0.0000 0.5000  8 H 2.78
Br: 0.0000 0.5000 0.0000  8 H 2.78
Br: 0.5000 0.0000 0.0000  8 H 2.78
Br: 0.5000 0.5000 0.5000  8 H 2.78

Calculated values
Calculated total energy, eV per atom: -2.875
Theoretical density, kg/m3: 4265
V, Å³/cell: 264.1

=====

Density functional theory data (PBE-GGA) for an optimized crystal structure of Nd3SnTeBr.

a = 9.2682 Å, b = 4.3605 Å, c = 10.5251 Å
α = 90.00°, β = 90.98°, γ = 90.00°
With the nearest neighbours (Å) after each atom.
Sites, in units of the cell vectors:
Nd: 0.1208 0.2500 0.3439  3 Sn 3.14-3.16, 2 Te 3.21
Nd: 0.1508 0.2500 0.9315  2 Br 2.96, 1 Sn 3.05
Nd: 0.3718 0.7500 0.6395  1 Br 3.05, 2 Sn 3.16, 3 Te 3.21-3.23
Nd: 0.6282 0.2500 0.3605  1 Br 3.05, 2 Sn 3.16, 3 Te 3.21-3.23
Nd: 0.8492 0.7500 0.0685  2 Br 2.96, 1 Sn 3.05
Nd: 0.8792 0.7500 0.6561  3 Sn 3.14-3.16, 2 Te 3.21
Sn: 0.1253 0.2500 0.6424  6 Nd 3.05-3.16
Sn: 0.8747 0.7500 0.3576  6 Nd 3.05-3.16
Te: 0.3749 0.7500 0.3329  5 Nd 3.21-3.23
Te: 0.6251 0.2500 0.6671  5 Nd 3.21-3.23
Br: 0.3669 0.7500 0.9287  3 Nd 2.96-3.05
Br: 0.6331 0.2500 0.0713  3 Nd 2.96-3.05

Calculated values
Calculated total energy, eV per atom: -4.874
Theoretical density, kg/m3: 5926
V, Å³/cell: 425.3

=====

Density functional theory data (PBE-GGA) for an optimized crystal structure of Li2MgIn.

a = 3.8488 Å, b = 4.5430 Å, c = 4.6070 Å
α = 90.00°, β = 90.00°, γ = 90.00°
With the nearest neighbours (Å) after each atom.
Sites, in units of the cell vectors:
Li: 0.0000 0.0000 0.0000  4 In 2.98, 4 Li 3.00, 4 Mg 3.24
Li: 0.5000 0.0000 0.5000  4 Mg 2.98, 4 Li 3.00, 4 In 3.24
Mg: 0.0000 0.5000 0.5000  8 Li 2.98-3.24, 4 In 3.00
In: 0.5000 0.5000 0.0000  8 Li 2.98-3.24, 4 Mg 3.00

Calculated values
Calculated total energy, eV per atom: -2.223
Theoretical density, kg/m3: 3154
DFT formation energy, eV per atom: -0.18
V, Å³/cell: 80.6

=====

Density functional theory data (PBE-GGA) for an optimized crystal structure of SnRhPb3.

a = 5.3171 Å, b = 5.3171 Å, c = 5.3171 Å
α = 90.00°, β = 90.00°, γ = 90.00°
With the nearest neighbours (Å) after each atom.
Sites, in units of the cell vectors:
Sn: 0.0000 0.0000 0.0000  12 Pb 3.76
Rh: 0.5000 0.5000 0.5000  6 Pb 2.66
Pb: 0.0000 0.5000 0.5000  2 Rh 2.66
Pb: 0.5000 0.0000 0.5000  2 Rh 2.66
Pb: 0.5000 0.5000 0.0000  2 Rh 2.66

Calculated values
Calculated total energy, eV per atom: -4.370
Theoretical density, kg/m3: 9314
DFT formation energy, eV per atom: 0.13
V, Å³/cell: 150.3

=====

Density functional theory data (PBE-GGA) for an optimized crystal structure of NbGaReOs.

a = 6.2831 Å, b = 6.2831 Å, c = 6.2831 Å
α = 90.00°, β = 90.00°, γ = 90.00°
With the nearest neighbours (Å) after each atom.
Sites, in units of the cell vectors:
Nb: 0.0000 0.0000 0.0000  4 Re 2.72, 4 Os 2.72
Nb: 0.0000 0.5000 0.5000  4 Re 2.72, 4 Os 2.72
Nb: 0.5000 0.0000 0.5000  4 Re 2.72, 4 Os 2.72
Nb: 0.5000 0.5000 0.0000  4 Re 2.72, 4 Os 2.72
Ga: 0.0000 0.0000 0.5000  4 Os 2.72, 4 Re 2.72
Ga: 0.0000 0.5000 0.0000  4 Re 2.72, 4 Os 2.72
Ga: 0.5000 0.0000 0.0000  4 Re 2.72, 4 Os 2.72
Ga: 0.5000 0.5000 0.5000  4 Os 2.72, 4 Re 2.72
Re: 0.2500 0.2500 0.2500  4 Ga 2.72, 4 Nb 2.72
Re: 0.2500 0.7500 0.7500  4 Nb 2.72, 4 Ga 2.72
Re: 0.7500 0.2500 0.7500  4 Nb 2.72, 4 Ga 2.72
Re: 0.7500 0.7500 0.2500  4 Nb 2.72, 4 Ga 2.72
Os: 0.2500 0.2500 0.7500  4 Nb 2.72, 4 Ga 2.72
Os: 0.2500 0.7500 0.2500  4 Nb 2.72, 4 Ga 2.72
Os: 0.7500 0.2500 0.2500  4 Nb 2.72, 4 Ga 2.72
Os: 0.7500 0.7500 0.7500  4 Nb 2.72, 4 Ga 2.72

Calculated values
Calculated total energy, eV per atom: -9.275
Theoretical density, kg/m3: 14436
DFT formation energy, eV per atom: -0.08
V, Å³/cell: 248.0

=====

Density functional theory data (PBE-GGA) for an optimized crystal structure of Cr2Rh2Pb.

a = 7.4256 Å, b = 7.4256 Å, c = 2.9365 Å
α = 90.00°, β = 90.00°, γ = 90.00°
With the nearest neighbours (Å) after each atom.
Sites, in units of the cell vectors:
Cr: 0.1609 0.3391 0.0000  6 Rh 2.62-2.64, 2 Cr 2.94
Cr: 0.3391 0.8391 0.0000  6 Rh 2.62-2.64, 2 Cr 2.94
Cr: 0.6609 0.1609 0.0000  6 Rh 2.62-2.64, 2 Cr 2.94
Cr: 0.8391 0.6609 0.0000  6 Rh 2.62-2.64, 2 Cr 2.94
Rh: 0.1305 0.6305 0.5000  6 Cr 2.62-2.64, 3 Rh 2.74-2.94, 2 Pb 2.91
Rh: 0.3695 0.1305 0.5000  6 Cr 2.62-2.64, 3 Rh 2.74-2.94, 2 Pb 2.91
Rh: 0.6305 0.8695 0.5000  6 Cr 2.62-2.64, 3 Rh 2.74-2.94, 2 Pb 2.91
Rh: 0.8695 0.3695 0.5000  6 Cr 2.62-2.64, 3 Rh 2.74-2.94, 2 Pb 2.91
Pb: 0.0000 0.0000 0.5000  4 Rh 2.91, 2 Pb 2.94, 8 Cr 3.15
Pb: 0.5000 0.5000 0.5000  4 Rh 2.91, 2 Pb 2.94, 8 Cr 3.15

Calculated values
Calculated total energy, eV per atom: -7.282
Theoretical density, kg/m3: 10604
DFT formation energy, eV per atom: 0.25
V, Å³/cell: 161.9

=====

Density functional theory data (PBE-GGA) for an optimized crystal structure of LaMgAs2.

a = 4.2309 Å, b = 4.2309 Å, c = 10.7008 Å
α = 90.00°, β = 90.00°, γ = 90.00°
With the nearest neighbours (Å) after each atom.
Sites, in units of the cell vectors:
La: 0.2500 0.2500 0.2082  8 As 3.07-3.32
La: 0.7500 0.7500 0.7918  8 As 3.07-3.32
Mg: 0.2500 0.7500 0.5000  4 As 2.71, 4 Mg 2.99
Mg: 0.7500 0.2500 0.5000  4 As 2.71, 4 Mg 2.99
As: 0.2500 0.2500 0.6581  4 Mg 2.71
As: 0.2500 0.7500 0.0000  4 As 2.99, 4 La 3.07
As: 0.7500 0.2500 0.0000  4 As 2.99, 4 La 3.07
As: 0.7500 0.7500 0.3419  4 Mg 2.71

Calculated values
Calculated total energy, eV per atom: -4.885
Theoretical density, kg/m3: 5428
DFT formation energy, eV per atom: -0.93
V, Å³/cell: 191.5